Run a
# CsSnPb GGA-PBE optimized geometry
# Calculated density: 6.238 g/cm3
# Space group: Pnma, No. 62
data_CsSnPb
_chemical_formula_sum 'Cs4 Sn4 Pb4'
_space_group_name_H-M_alt 'P 1'
_space_group_IT_number 1
_space_group_name_Hall 'P 1'
_cell_length_a 5.148
_cell_length_b 9.117
_cell_length_c 10.410
_cell_angle_alpha 90.00
_cell_angle_beta 90.00
_cell_angle_gamma 90.00
loop_
_atom_site_label
_atom_site_type_symbol
_atom_site_fract_x
_atom_site_fract_y
_atom_site_fract_z
_atom_site_occupancy
Sn1 Sn 0.262 0.690 0.409 1
Cs1 Cs 0.262 0.497 0.824 1
Cs2 Cs 0.262 0.997 0.676 1
Cs3 Cs 0.762 0.503 0.176 1
Sn2 Sn 0.762 0.810 0.909 1
Pb1 Pb 0.262 0.352 0.423 1
Cs4 Cs 0.762 0.003 0.324 1
Pb2 Pb 0.262 0.852 0.077 1
Pb3 Pb 0.762 0.148 0.923 1
Sn3 Sn 0.762 0.310 0.591 1
Pb4 Pb 0.762 0.648 0.577 1
Sn4 Sn 0.262 0.190 0.091 1

=====

Run b
# CsSnPb GGA-PBE optimized geometry
# Calculated density: 6.558 g/cm3
# Space group: I4mm, No. 107
data_CsSnPb
_chemical_formula_sum 'Cs1 Sn1 Pb1'
_space_group_name_H-M_alt 'P 1'
_space_group_IT_number 1
_space_group_name_Hall 'P 1'
_cell_length_a 3.943
_cell_length_b 3.943
_cell_length_c 7.974
_cell_angle_alpha 104.32
_cell_angle_beta 104.32
_cell_angle_gamma 90.00
loop_
_atom_site_label
_atom_site_type_symbol
_atom_site_fract_x
_atom_site_fract_y
_atom_site_fract_z
_atom_site_occupancy
Pb1 Pb 0.304 0.304 0.607 1
Cs1 Cs 0.003 0.003 0.006 1
Sn1 Sn 0.694 0.694 0.387 1

=====

What should be chosen as the most stable of them? Choose run a.

=====

Run a
# Cs2SnPb GGA-PBE optimized geometry
# Calculated density: 4.596 g/cm3
# Space group: C2, No. 5
data_Cs2SnPb
_chemical_formula_sum 'Cs2 Sn1 Pb1'
_space_group_name_H-M_alt 'P 1'
_space_group_IT_number 1
_space_group_name_Hall 'P 1'
_cell_length_a 4.768
_cell_length_b 7.396
_cell_length_c 7.395
_cell_angle_alpha 62.38
_cell_angle_beta 71.06
_cell_angle_gamma 71.05
loop_
_atom_site_label
_atom_site_type_symbol
_atom_site_fract_x
_atom_site_fract_y
_atom_site_fract_z
_atom_site_occupancy
Sn1 Sn 0.750 0.968 0.532 1
Cs1 Cs 0.067 0.850 0.014 1
Pb1 Pb 0.250 0.196 0.304 1
Cs2 Cs 0.433 0.486 0.650 1

=====

Run b
# Cs2SnPb GGA-PBE optimized geometry
# Calculated density: 3.328 g/cm3
# Space group: I-42d, No. 122
data_Cs2SnPb
_chemical_formula_sum 'Cs4 Sn2 Pb2'
_space_group_name_H-M_alt 'P 1'
_space_group_IT_number 1
_space_group_name_Hall 'P 1'
_cell_length_a 10.557
_cell_length_b 10.557
_cell_length_c 10.557
_cell_angle_alpha 94.20
_cell_angle_beta 94.20
_cell_angle_gamma 148.58
loop_
_atom_site_label
_atom_site_type_symbol
_atom_site_fract_x
_atom_site_fract_y
_atom_site_fract_z
_atom_site_occupancy
Cs1 Cs 0.543 0.875 0.168 1
Sn1 Sn 0.500 0.500 0.000 1
Cs2 Cs 0.625 0.457 0.332 1
Pb1 Pb 0.000 0.000 0.000 1
Cs3 Cs 0.707 0.375 0.832 1
Cs4 Cs 0.125 0.293 0.668 1
Sn2 Sn 0.750 0.250 0.500 1
Pb2 Pb 0.250 0.750 0.500 1

=====

Run c
# Cs2SnPb GGA-PBE optimized geometry
# Calculated density: 5.262 g/cm3
# Space group: Fm-3m, No. 225
data_Cs2SnPb
_chemical_formula_sum 'Cs2 Sn1 Pb1'
_space_group_name_H-M_alt 'P 1'
_space_group_IT_number 1
_space_group_name_Hall 'P 1'
_cell_length_a 6.416
_cell_length_b 6.416
_cell_length_c 6.416
_cell_angle_alpha 60.00
_cell_angle_beta 60.00
_cell_angle_gamma 60.00
loop_
_atom_site_label
_atom_site_type_symbol
_atom_site_fract_x
_atom_site_fract_y
_atom_site_fract_z
_atom_site_occupancy
Cs1 Cs 0.250 0.250 0.250 1
Cs2 Cs 0.750 0.750 0.750 1
Pb1 Pb 0.500 0.500 0.500 1
Sn1 Sn 0.000 0.000 0.000 1

=====

What should be chosen as the most stable of them? Choose run a.

=====

Run a
# Cs2SrPb GGA-PBE optimized geometry
# Calculated density: 4.636 g/cm3
# Space group: I-42d, No. 122
data_Cs2SrPb
_chemical_formula_sum 'Cs4 Sr2 Pb2'
_space_group_name_H-M_alt 'P 1'
_space_group_IT_number 1
_space_group_name_Hall 'P 1'
_cell_length_a 5.256
_cell_length_b 5.256
_cell_length_c 15.006
_cell_angle_alpha 79.91
_cell_angle_beta 79.91
_cell_angle_gamma 90.00
loop_
_atom_site_label
_atom_site_type_symbol
_atom_site_fract_x
_atom_site_fract_y
_atom_site_fract_z
_atom_site_occupancy
Cs1 Cs 0.630 0.125 0.250 1
Pb1 Pb 0.750 0.250 0.500 1
Cs2 Cs 0.120 0.625 0.250 1
Cs3 Cs 0.375 0.370 0.750 1
Sr1 Sr 0.250 0.750 0.500 1
Cs4 Cs 0.875 0.880 0.750 1
Sr2 Sr 0.500 0.500 0.000 1
Pb2 Pb 0.000 0.000 0.000 1

=====

Run b
# Cs2SrPb GGA-PBE optimized geometry
# Calculated density: 4.315 g/cm3
# Space group: Fm-3m, No. 225
data_Cs2SrPb
_chemical_formula_sum 'Cs2 Sr1 Pb1'
_space_group_name_H-M_alt 'P 1'
_space_group_IT_number 1
_space_group_name_Hall 'P 1'
_cell_length_a 6.732
_cell_length_b 6.732
_cell_length_c 6.732
_cell_angle_alpha 60.00
_cell_angle_beta 60.00
_cell_angle_gamma 60.00
loop_
_atom_site_label
_atom_site_type_symbol
_atom_site_fract_x
_atom_site_fract_y
_atom_site_fract_z
_atom_site_occupancy
Sr1 Sr 0.000 0.000 0.000 1
Cs1 Cs 0.750 0.750 0.750 1
Cs2 Cs 0.250 0.250 0.250 1
Pb1 Pb 0.500 0.500 0.500 1

=====

What should be chosen as the most stable of them? Choose run a.

=====

Run a
# CsTa3Pb GGA-PBE optimized geometry
# Calculated density: 11.070 g/cm3
# Space group: Pm-3m, No. 221
data_CsTa3Pb
_chemical_formula_sum 'Cs1 Ta3 Pb1'
_space_group_name_H-M_alt 'P 1'
_space_group_IT_number 1
_space_group_name_Hall 'P 1'
_cell_length_a 5.097
_cell_length_b 5.097
_cell_length_c 5.097
_cell_angle_alpha 90.00
_cell_angle_beta 90.00
_cell_angle_gamma 90.00
loop_
_atom_site_label
_atom_site_type_symbol
_atom_site_fract_x
_atom_site_fract_y
_atom_site_fract_z
_atom_site_occupancy
Ta1 Ta 0.000 0.500 0.000 1
Ta2 Ta 0.000 0.000 0.500 1
Cs1 Cs 0.000 0.000 0.000 1
Ta3 Ta 0.500 0.000 0.000 1
Pb1 Pb 0.500 0.500 0.500 1

=====

Run b
# CsTa3Pb GGA-PBE optimized geometry
# Calculated density: 9.462 g/cm3
# Space group: Pm-3m, No. 221
data_CsTa3Pb
_chemical_formula_sum 'Cs1 Ta3 Pb1'
_space_group_name_H-M_alt 'P 1'
_space_group_IT_number 1
_space_group_name_Hall 'P 1'
_cell_length_a 5.371
_cell_length_b 5.371
_cell_length_c 5.371
_cell_angle_alpha 90.00
_cell_angle_beta 90.00
_cell_angle_gamma 90.00
loop_
_atom_site_label
_atom_site_type_symbol
_atom_site_fract_x
_atom_site_fract_y
_atom_site_fract_z
_atom_site_occupancy
Ta1 Ta 0.500 0.000 0.000 1
Cs1 Cs 0.500 0.500 0.500 1
Ta2 Ta 0.000 0.500 0.000 1
Pb1 Pb 0.000 0.000 0.000 1
Ta3 Ta 0.000 0.000 0.500 1

=====

What should be chosen as the most stable of them? Choose run b.